No. 1
DFT (GGA-PBE) results for a relaxed structure of Ag4Au.

Structure (CIF):
```
data_Ag4Au
_chemical_formula_sum 'Ag8 Au2'
_symmetry_space_group_name_H-M 'I 4/m'
_symmetry_Int_Tables_number 87
_symmetry_space_group_name_Hall '-I 4'
_cell_length_a 6.518
_cell_length_b 6.518
_cell_length_c 4.218
_cell_angle_alpha 90.00
_cell_angle_beta 90.00
_cell_angle_gamma 90.00
loop_
_atom_site_label
_atom_site_fract_x
_atom_site_fract_y
_atom_site_fract_z
Ag1 0.101 0.300 0.000
Au1 0.000 0.000 0.500
```

Output
ΔE to the lowest computed polymorph (eV per atom): 0.000
Energy of formation from the pure elements (kJ/mol of formula units): -10
Total DFT energy (no corrections) (eV/atom): -2.957



No. 2
DFT (GGA-PBE) results for a relaxed structure of TbYMgPb.

Structure (CIF):
```
data_TbYMgPb
_chemical_formula_sum 'Tb4 Y4 Mg4 Pb4'
_symmetry_space_group_name_H-M 'F -4 3 m'
_symmetry_Int_Tables_number 216
_symmetry_space_group_name_Hall 'F -4 2 3'
_cell_length_a 7.599
_cell_length_b 7.599
_cell_length_c 7.599
_cell_angle_alpha 90.00
_cell_angle_beta 90.00
_cell_angle_gamma 90.00
loop_
_atom_site_label
_atom_site_fract_x
_atom_site_fract_y
_atom_site_fract_z
Tb1 0.000 0.000 0.000
Y1 0.000 0.000 0.500
Mg1 0.250 0.250 0.250
Pb1 0.250 0.250 0.750
```

Output
Energy of formation from the pure elements (kJ/mol of formula units): -114
Total DFT energy (no corrections) (eV/atom): -4.394



No. 3
DFT (GGA-PBE) results for a relaxed structure of RbTiCr2As.

Structure (CIF):
```
data_RbTiCr2As
_chemical_formula_sum 'Rb1 Ti1 Cr2 As1'
_symmetry_space_group_name_H-M 'P 4/m m m'
_symmetry_Int_Tables_number 123
_symmetry_space_group_name_Hall '-P 4 2'
_cell_length_a 4.725
_cell_length_b 4.725
_cell_length_c 5.465
_cell_angle_alpha 90.00
_cell_angle_beta 90.00
_cell_angle_gamma 90.00
loop_
_atom_site_label
_atom_site_fract_x
_atom_site_fract_y
_atom_site_fract_z
Rb1 0.000 0.000 0.000
Ti1 0.000 0.000 0.500
Cr1 0.000 0.500 0.500
As1 0.500 0.500 0.000
```

Output
Energy of formation from the pure elements (kJ/mol of formula units): 736
Total DFT energy (no corrections) (eV/atom): -5.027



No. 4
DFT (GGA-PBE) results for a relaxed structure of SrBeRu.

Structure (CIF):
```
data_SrBeRu
_chemical_formula_sum 'Sr4 Be4 Ru4'
_symmetry_space_group_name_H-M 'F -4 3 m'
_symmetry_Int_Tables_number 216
_symmetry_space_group_name_Hall 'F -4 2 3'
_cell_length_a 6.521
_cell_length_b 6.521
_cell_length_c 6.521
_cell_angle_alpha 90.00
_cell_angle_beta 90.00
_cell_angle_gamma 90.00
loop_
_atom_site_label
_atom_site_fract_x
_atom_site_fract_y
_atom_site_fract_z
Sr1 0.000 0.000 0.000
Be1 0.250 0.250 0.250
Ru1 0.250 0.250 0.750
```

Output
ΔE to the lowest computed polymorph (eV per atom): 1.737
Energy of formation from the pure elements (kJ/mol of formula units): 497
Total DFT energy (no corrections) (eV/atom): -3.177



No. 5
DFT (GGA-PBE) results for a relaxed structure of K2MgPaO4.

Structure (CIF):
```
data_K2MgPaO4
_chemical_formula_sum 'K2 Mg1 Pa1 O4'
_symmetry_space_group_name_H-M 'P 1 2/m 1'
_symmetry_Int_Tables_number 10
_cell_length_a 5.747
_cell_length_b 3.530
_cell_length_c 6.540
_cell_angle_alpha 90.00
_cell_angle_beta 106.74
_cell_angle_gamma 90.00
loop_
_symmetry_equiv_pos_as_xyz
'x,y,z'
'-x,-y,-z'
'-x,y,-z'
'x,-y,z'
loop_
_atom_site_label
_atom_site_fract_x
_atom_site_fract_y
_atom_site_fract_z
K1 0.000 0.000 0.000
K2 0.500 0.500 0.000
Mg1 0.000 0.500 0.500
Pa1 0.500 0.000 0.500
O1 0.229 0.000 0.679
O2 0.266 0.500 0.318
```

Output
Energy relative to the elements, uncorrected (eV per atom): -2.4164
Total DFT energy (no corrections) (eV/atom): -6.556



No. 6
DFT (GGA-PBE) results for a relaxed structure of YTaCo4.

Structure (CIF):
```
data_YTaCo4
_chemical_formula_sum 'Y4 Ta4 Co16'
_symmetry_space_group_name_H-M 'F -4 3 m'
_symmetry_Int_Tables_number 216
_symmetry_space_group_name_Hall 'F -4 2 3'
_cell_length_a 6.935
_cell_length_b 6.935
_cell_length_c 6.935
_cell_angle_alpha 90.00
_cell_angle_beta 90.00
_cell_angle_gamma 90.00
loop_
_atom_site_label
_atom_site_fract_x
_atom_site_fract_y
_atom_site_fract_z
Y1 0.000 0.000 0.000
Ta1 0.250 0.250 0.250
Co1 0.125 0.125 0.625
```

Output
Energy of formation from the pure elements (kJ/mol of formula units): -44
Total DFT energy (no corrections) (eV/atom): -7.866



No. 7
DFT (GGA-PBE) results for a relaxed structure of GdThZnAg.

Structure (CIF):
```
data_GdThZnAg
_chemical_formula_sum 'Gd4 Th4 Zn4 Ag4'
_symmetry_space_group_name_H-M 'F -4 3 m'
_symmetry_Int_Tables_number 216
_symmetry_space_group_name_Hall 'F -4 2 3'
_cell_length_a 7.371
_cell_length_b 7.371
_cell_length_c 7.371
_cell_angle_alpha 90.00
_cell_angle_beta 90.00
_cell_angle_gamma 90.00
loop_
_atom_site_label
_atom_site_fract_x
_atom_site_fract_y
_atom_site_fract_z
Gd1 0.000 0.000 0.000
Th1 0.000 0.000 0.500
Zn1 0.250 0.250 0.250
Ag1 0.250 0.250 0.750
```

Output
Energy of formation from the pure elements (kJ/mol of formula units): -71
Total DFT energy (no corrections) (eV/atom): -6.591



No. 8
DFT (GGA-PBE) results for a relaxed structure of Cs3Th3CoSe8.

Structure (CIF):
```
data_Cs3Th3CoSe8
_chemical_formula_sum 'Cs6 Th6 Co2 Se16'
_symmetry_space_group_name_H-M 'C 1 2/m 1'
_symmetry_Int_Tables_number 12
_cell_length_a 14.712
_cell_length_b 8.486
_cell_length_c 9.881
_cell_angle_alpha 90.00
_cell_angle_beta 119.81
_cell_angle_gamma 90.00
loop_
_symmetry_equiv_pos_as_xyz
'x,y,z'
'-x,-y,-z'
'-x,y,-z'
'x,-y,z'
'x+1/2,y+1/2,z'
'-x+1/2,-y+1/2,-z'
'-x+1/2,y+1/2,-z'
'x+1/2,-y+1/2,z'
loop_
_atom_site_label
_atom_site_fract_x
_atom_site_fract_y
_atom_site_fract_z
Cs1 0.000 0.000 0.000
Cs2 0.250 0.250 0.000
Th1 0.000 0.500 0.500
Th2 0.250 0.250 0.500
Co1 0.000 0.000 0.500
Se1 0.022 0.243 0.323
Se2 0.220 0.000 0.676
Se3 0.232 0.500 0.696
```

Output
Energy relative to the elements, uncorrected (eV per atom): -1.3454
Total DFT energy (no corrections) (eV/atom): -5.332



No. 9
DFT (GGA-PBE) results for a relaxed structure of CsMgZn2Cl8.

Structure (CIF):
```
data_CsMgZn2Cl8
_chemical_formula_sum 'Cs3 Mg3 Zn6 Cl24'
_symmetry_space_group_name_H-M 'R -3'
_symmetry_Int_Tables_number 148
_symmetry_space_group_name_Hall '-R 3'
_cell_length_a 6.4448
_cell_length_b 6.4448
_cell_length_c 28.0240
_cell_angle_alpha 90.00
_cell_angle_beta 90.00
_cell_angle_gamma 120.00
loop_
_atom_site_label
_atom_site_fract_x
_atom_site_fract_y
_atom_site_fract_z
Cs1 0.0000 0.0000 0.0000
Mg1 0.0000 0.0000 0.5000
Zn1 0.0000 0.0000 0.2413
Cl1 0.0000 0.0000 0.3227
Cl2 0.0027 0.6809 0.5523
```

Output
Energy relative to the elements, uncorrected (eV per atom): -1.2985
Total DFT energy (no corrections) (eV/atom): -2.946



No. 10
DFT (GGA-PBE) results for a relaxed structure of Ca2Ni.

Structure (CIF):
```
data_Ca2Ni
_chemical_formula_sum 'Ca8 Ni4'
_symmetry_space_group_name_H-M 'C m c 21'
_symmetry_Int_Tables_number 36
_cell_length_a 3.799
_cell_length_b 12.609
_cell_length_c 6.849
_cell_angle_alpha 90.00
_cell_angle_beta 90.00
_cell_angle_gamma 90.00
loop_
_symmetry_equiv_pos_as_xyz
'x,y,z'
'-x,-y,z+1/2'
'-x,y,z'
'x,-y,z+1/2'
'x+1/2,y+1/2,z'
'-x+1/2,-y+1/2,z+1/2'
'-x+1/2,y+1/2,z'
'x+1/2,-y+1/2,z+1/2'
loop_
_atom_site_label
_atom_site_fract_x
_atom_site_fract_y
_atom_site_fract_z
Ca1 0.000 0.011 0.000
Ca2 0.000 0.274 0.192
Ni1 0.000 0.387 0.779
```

Output
Energy of formation from the pure elements (kJ/mol of formula units): -7
Total DFT energy (no corrections) (eV/atom): -3.285



No. 11
DFT (GGA-PBE) results for a relaxed structure of La2SnGe4Ir3.

Structure (CIF):
```
data_La2SnGe4Ir3
_chemical_formula_sum 'La2 Sn1 Ge4 Ir3'
_symmetry_space_group_name_H-M 'P -4 m 2'
_symmetry_Int_Tables_number 115
_cell_length_a 4.388
_cell_length_b 4.388
_cell_length_c 10.500
_cell_angle_alpha 90.00
_cell_angle_beta 90.00
_cell_angle_gamma 90.00
loop_
_symmetry_equiv_pos_as_xyz
'x,y,z'
'y,-x,-z'
'-x,-y,z'
'-y,x,-z'
'-x,y,z'
'-y,-x,-z'
'x,-y,z'
'y,x,-z'
loop_
_atom_site_label
_atom_site_fract_x
_atom_site_fract_y
_atom_site_fract_z
La1 0.000 0.500 0.237
Sn1 0.000 0.000 0.500
Ge1 0.000 0.000 0.000
Ge2 0.000 0.500 0.653
Ge3 0.500 0.500 0.000
Ir1 0.000 0.500 0.884
Ir2 0.500 0.500 0.500
```

Output
Energy of formation from the pure elements (kJ/mol of formula units): -638
Total DFT energy (no corrections) (eV/atom): -6.553



No. 12
DFT (GGA-PBE) results for a relaxed structure of PtW3.

Structure (CIF):
```
data_PtW3
_chemical_formula_sum 'Pt1 W3'
_symmetry_space_group_name_H-M 'P 4/m m m'
_symmetry_Int_Tables_number 123
_symmetry_space_group_name_Hall '-P 4 2'
_cell_length_a 2.720
_cell_length_b 2.720
_cell_length_c 8.680
_cell_angle_alpha 90.00
_cell_angle_beta 90.00
_cell_angle_gamma 90.00
loop_
_atom_site_label
_atom_site_fract_x
_atom_site_fract_y
_atom_site_fract_z
Pt1 0.000 0.000 0.000
W1 0.000 0.000 0.500
W2 0.500 0.500 0.241
```

Output
Energy of formation from the pure elements (kJ/mol of formula units): 21
Total DFT energy (no corrections) (eV/atom): -11.171



No. 13
DFT (GGA-PBE) results for a relaxed structure of Cd2PtW.

Structure (CIF):
```
data_Cd2PtW
_chemical_formula_sum 'Cd8 Pt4 W4'
_symmetry_space_group_name_H-M 'I -4 2 d'
_symmetry_Int_Tables_number 122
_symmetry_space_group_name_Hall 'I -4 2bw'
_cell_length_a 7.658
_cell_length_b 7.658
_cell_length_c 5.379
_cell_angle_alpha 90.00
_cell_angle_beta 90.00
_cell_angle_gamma 90.00
loop_
_atom_site_label
_atom_site_fract_x
_atom_site_fract_y
_atom_site_fract_z
Cd1 0.237 0.250 0.125
Pt1 0.000 0.000 0.000
W1 0.000 0.000 0.500
```

Output
ΔE to the lowest computed polymorph (eV per atom): 0.771
Energy of formation from the pure elements (kJ/mol of formula units): 315
Total DFT energy (no corrections) (eV/atom): -4.390



No. 14
DFT (GGA-PBE) results for a relaxed structure of NbTcMo.

Structure (CIF):
```
data_NbTcMo
_chemical_formula_sum 'Nb4 Tc4 Mo4'
_symmetry_space_group_name_H-M 'C m c m'
_symmetry_Int_Tables_number 63
_symmetry_space_group_name_Hall '-C 2c 2'
_cell_length_a 3.189
_cell_length_b 13.524
_cell_length_c 4.496
_cell_angle_alpha 90.00
_cell_angle_beta 90.00
_cell_angle_gamma 90.00
loop_
_atom_site_label
_atom_site_fract_x
_atom_site_fract_y
_atom_site_fract_z
Nb1 0.000 0.083 0.250
Tc1 0.000 0.416 0.250
Mo1 0.000 0.249 0.750
```

Output
ΔE to the lowest computed polymorph (eV per atom): 0.000
Energy of formation from the pure elements (kJ/mol of formula units): -50
Total DFT energy (no corrections) (eV/atom): -10.596



No. 15
DFT (GGA-PBE) results for a relaxed structure of Tb4CuRu.

Structure (CIF):
```
data_Tb4CuRu
_chemical_formula_sum 'Tb64 Cu16 Ru16'
_symmetry_space_group_name_H-M 'F -4 3 m'
_symmetry_Int_Tables_number 216
_symmetry_space_group_name_Hall 'F -4 2 3'
_cell_length_a 13.374
_cell_length_b 13.374
_cell_length_c 13.374
_cell_angle_alpha 90.00
_cell_angle_beta 90.00
_cell_angle_gamma 90.00
loop_
_atom_site_label
_atom_site_fract_x
_atom_site_fract_y
_atom_site_fract_z
Tb1 0.000 0.000 0.188
Tb2 0.058 0.250 0.750
Tb3 0.103 0.103 0.397
Cu1 0.171 0.171 0.171
Ru1 0.110 0.110 0.610
```

Output
ΔE to the lowest computed polymorph (eV per atom): 0.000
Energy of formation from the pure elements (kJ/mol of formula units): -121
Total DFT energy (no corrections) (eV/atom): -5.525